The following is a DFT calculation (PBE-GGA) of a geometry-optimized Ce2PmGa structure.

The calculation puts the energy above the most stable polymorph in this dataset at 67.6 meV per atom. The value obtained for the calculated volume is 103.9 Å³/f.u. The value obtained for the total magnetization is 1.42 μB/f.u.

abc: 4.5694 4.5694 4.9739
angles: 90.00 90.00 90.00
With the nearest neighbours (Å) after each atom.
Fractional positions:
Ce 0.0000 0.5000 0.0000  4 Ce 3.23, 4 Pm 3.38, 4 Ga 3.38
Ce 0.5000 0.0000 0.0000  4 Ce 3.23, 4 Pm 3.38, 4 Ga 3.38
Pm 0.0000 0.0000 0.5000  4 Ga 3.23, 8 Ce 3.38
Ga 0.5000 0.5000 0.5000  4 Pm 3.23, 8 Ce 3.38